Entry 1:
DFT (GGA-PBE) results for a relaxed Nd2AlGa6Cu crystal.

Summary:
**E_tot**: -3.86 eV per atom
**ΔE_f**: -3.0 eV per formula unit
**Total moment**: 0.00 μB/f.u.
**Density of states at the Fermi level**: 4.03 states/eV/f.u.
**Crystal system**: trigonal

Cell: 6.3854 6.3854 35.2066 Å, 90.00 90.00 120.00°
With the nearest neighbours (Å) after each atom.
Space group R-3m (No. 166, hexagonal axes)
One atom of each set of equivalent atoms:
1 Nd 0.0000 0.0000 0.1192 (multiplicity 6)  12 Ga 3.22-3.53
2 Nd 0.0000 0.0000 0.2997 (multiplicity 6)  12 Ga 3.23-3.46
3 Al 0.0000 0.0000 0.0000 (multiplicity 3)  6 Ga 2.62
4 Al 0.0000 0.0000 0.5000 (multiplicity 3)  2 Cu 2.39
5 Ga 0.0397 0.5199 0.2876 (multiplicity 18)  1 Cu 2.48, 1 Al 2.62
6 Ga 0.0707 0.5353 0.8773 (multiplicity 18)  1 Cu 2.39, 2 Ga 2.52
7 Cu 0.0000 0.0000 0.4322 (multiplicity 6)  1 Al 2.39, 6 Ga 2.39-2.48



Entry 2:
DFT (GGA-PBE) results for a relaxed Nd2Al3Ga4Cu crystal.

Summary:
**E_tot**: -4.13 eV per atom
**ΔE_f**: -4.3 eV per formula unit
**Total moment**: 0.00 μB/f.u.
**Density of states at the Fermi level**: 3.12 states/eV/f.u.
**Crystal system**: tetragonal

Cell: 4.2808 4.2808 10.6970 Å, 90.00 90.00 90.00°
With the nearest neighbours (Å) after each atom.
Space group P-4m2 (No. 115)
One atom of each set of equivalent atoms:
1 Nd 0.0000 0.5000 0.2485 (multiplicity 2)  6 Al 3.26-3.41, 8 Ga 3.28-3.44, 2 Cu 3.41
2 Al 0.0000 0.0000 0.0000 (multiplicity 1)  4 Ga 2.56
3 Al 0.0000 0.5000 0.6375 (multiplicity 2)  5 Ga 2.48-2.60
4 Ga 0.0000 0.0000 0.5000 (multiplicity 1)  4 Al 2.60
5 Ga 0.0000 0.5000 0.8690 (multiplicity 2)  3 Al 2.48-2.56, 2 Cu 2.56
6 Ga 0.5000 0.5000 0.5000 (multiplicity 1)  4 Al 2.60
7 Cu 0.5000 0.5000 0.0000 (multiplicity 1)  4 Ga 2.56



Entry 3:
DFT (GGA-PBE) results for a relaxed NdAlGaCu3 crystal.

Summary:
**E_tot**: -4.11 eV per atom
**ΔE_f**: -0.8 eV per formula unit
**Total moment**: 0.00 μB/f.u.
**Density of states at the Fermi level**: 2.75 states/eV/f.u.
**Crystal system**: orthorhombic

Cell: 6.1886 11.9451 5.8317 Å, 90.00 90.00 90.00°
With the nearest neighbours (Å) after each atom.
Space group Cmcm (No. 63)
One atom of each set of equivalent atoms:
1 Nd 0.0000 0.2069 0.2500 (multiplicity 4)  1 Al 2.98, 2 Ga 3.03, 6 Cu 3.13-3.15
2 Al 0.0000 0.4565 0.2500 (multiplicity 4)  5 Cu 2.38-2.42
3 Ga 0.0000 0.1381 0.7500 (multiplicity 4)  5 Cu 2.47-2.53
4 Cu 0.0000 0.3446 0.7500 (multiplicity 4)  1 Al 2.38, 1 Ga 2.47
5 Cu 0.2002 0.0000 0.0000 (multiplicity 8)  2 Al 2.42, 1 Cu 2.48, 2 Ga 2.53



Entry 4:
DFT (GGA-PBE) results for a relaxed NdAl2GaCu2 crystal.

Summary:
**E_tot**: -4.02 eV per atom
**ΔE_f**: -0.7 eV per formula unit
**Total moment**: 0.00 μB/f.u.
**Density of states at the Fermi level**: 2.59 states/eV/f.u.
**Crystal system**: tetragonal

Cell: 4.4929 4.4929 5.6736 Å, 90.00 90.00 90.00°
With the nearest neighbours (Å) after each atom.
Space group P4/mmm (No. 123)
One atom of each set of equivalent atoms:
1 Nd 0.0000 0.0000 0.0000 (multiplicity 1)  2 Ga 2.84
2 Al 0.5000 0.5000 0.2375 (multiplicity 2)  2 Al 2.69-2.98, 4 Cu 2.70
3 Ga 0.0000 0.0000 0.5000 (multiplicity 1)  4 Cu 2.25
4 Cu 0.0000 0.5000 0.5000 (multiplicity 2)  2 Ga 2.25



Entry 5:
DFT (GGA-PBE) results for a relaxed NdAlGa2Cu crystal.

Summary:
**E_tot**: -4.24 eV per atom
**ΔE_f**: -2.6 eV per formula unit
**Total moment**: 0.00 μB/f.u.
**Density of states at the Fermi level**: 1.36 states/eV/f.u.
**Crystal system**: tetragonal

Cell: 4.1526 4.1526 10.8934 Å, 90.00 90.00 90.00°
With the nearest neighbours (Å) after each atom.
Space group I-4m2 (No. 119)
One atom of each set of equivalent atoms:
1 Nd 0.0000 0.0000 0.0000 (multiplicity 2)  8 Ga 3.19, 4 Cu 3.42, 4 Al 3.42
2 Al 0.0000 0.5000 0.2500 (multiplicity 2)  4 Ga 2.55
3 Ga 0.0000 0.0000 0.3853 (multiplicity 4)  1 Ga 2.50, 2 Al 2.55, 2 Cu 2.55
4 Cu 0.0000 0.5000 0.7500 (multiplicity 2)  4 Ga 2.55



Entry 6:
DFT (GGA-PBE) results for a relaxed Nd2AlGa4Cu3 crystal.

Summary:
**E_tot**: -4.25 eV per atom
**ΔE_f**: -4.9 eV per formula unit
**Total moment**: 0.00 μB/f.u.
**Density of states at the Fermi level**: 4.06 states/eV/f.u.
**Crystal system**: tetragonal

Cell: 4.1850 4.1850 10.5314 Å, 90.00 90.00 90.00°
With the nearest neighbours (Å) after each atom.
Space group P-4m2 (No. 115)
One atom of each set of equivalent atoms:
1 Nd 0.0000 0.5000 0.2451 (multiplicity 2)  8 Ga 3.19-3.32, 6 Cu 3.20-3.40, 2 Al 3.40
2 Al 0.0000 0.0000 0.5000 (multiplicity 1)  4 Ga 2.57
3 Ga 0.0000 0.0000 0.0000 (multiplicity 1)  4 Cu 2.49
4 Ga 0.0000 0.5000 0.6420 (multiplicity 2)  3 Cu 2.42-2.57, 2 Al 2.57
5 Ga 0.5000 0.5000 0.0000 (multiplicity 1)  4 Cu 2.49
6 Cu 0.0000 0.5000 0.8716 (multiplicity 2)  5 Ga 2.42-2.49
7 Cu 0.5000 0.5000 0.5000 (multiplicity 1)  4 Ga 2.57